Record 1
Crystalline KBeRu2 at its relaxed geometry. Source: Alexandria via LeMat-Bulk, functional PBE.

Structure (POSCAR):
```
KBeRu2
1.0
2.697 0.000 0.000
0.000 4.872 0.000
0.000 0.000 4.964
Ru K Be
2 1 1
Direct
0.000 0.000 0.000
0.500 0.500 0.000
0.000 0.500 0.500
0.500 0.000 0.500
```

Calculated values
**Formation energy**: 1256 meV/atom

---

Record 2
Crystalline K2BeRu at its relaxed geometry. Source: Alexandria via LeMat-Bulk, functional PBE.

Structure (POSCAR):
```
K2BeRu
1.0
5.852 -0.023 -0.098
-2.420 5.672 0.060
1.012 0.613 2.573
Ru K Be
1 2 1
Direct
0.000 0.500 0.500
0.000 0.000 0.000
0.500 0.000 0.500
0.500 0.500 0.000
```

Calculated values
**Formation energy**: 1292 meV/atom

---

Record 3
Crystalline K2BeRu at its relaxed geometry. Source: Alexandria via LeMat-Bulk, functional PBE.

Structure (POSCAR):
```
K2BeRu
1.0
12.471 0.000 0.000
0.000 12.471 0.000
6.236 6.236 2.103
Ru K Be
2 4 2
Direct
0.000 0.000 0.000
0.750 0.250 0.500
0.879 0.125 0.250
0.871 0.625 0.250
0.375 0.121 0.750
0.875 0.129 0.750
0.500 0.500 0.000
0.250 0.750 0.500
```

Calculated values
**Formation energy**: 948 meV/atom

---

Record 4
Crystalline K2BeRu at its relaxed geometry. Source: Alexandria via LeMat-Bulk, functional PBE.

Structure (POSCAR):
```
K2BeRu
1.0
-4.391 -1.688 9.131
-1.542 -5.312 8.655
4.639 4.723 -7.854
Ru K Be
1 2 1
Direct
0.750 0.250 0.500
0.110 0.110 0.000
0.390 0.390 0.000
0.250 0.750 0.500
```

Calculated values
**Formation energy**: 500 meV/atom

---

Record 5
Crystalline KBeRu2 at its relaxed geometry. Source: Alexandria via LeMat-Bulk, functional PBE.

Structure (POSCAR):
```
KBeRu2
1.0
-1.606 0.937 -5.163
3.617 -4.024 0.915
-1.864 -1.610 0.288
Ru K Be
2 1 1
Direct
0.000 0.000 0.000
0.500 0.500 0.000
0.000 0.500 0.500
0.500 0.000 0.500
```

Calculated values
**Formation energy**: 1259 meV/atom

---

Record 6
Crystalline K2BeRu at its relaxed geometry. Source: Alexandria via LeMat-Bulk, functional PBE.

Structure (POSCAR):
```
K2BeRu
1.0
2.853 0.000 0.000
0.000 2.853 0.000
0.000 0.000 11.134
Ru K Be
1 2 1
Direct
0.500 0.500 0.250
0.000 0.000 0.008
0.000 0.000 0.492
0.500 0.500 0.750
```

Calculated values
**Formation energy**: 1328 meV/atom

---

Among the records above, which one has the lowest formation energy?
number 4